First-principles (SCAN) data for a crystal of Cs2BeAs2 relaxed with PBEsol, as listed in Alexandria via LeMat-Bulk.

Cell and atoms, written as POSCAR:
```
Cs2BeAs2
1.0
-4.642 3.918 0.434
-3.834 -4.172 -3.349
-1.858 -2.826 5.646
Be As Cs
2 4 4
Cartesian
0.000 0.000 0.000
-2.846 -3.499 1.149
-2.695 -3.043 -1.360
-2.996 -3.955 3.658
-4.493 -5.400 0.704
-1.199 -1.597 1.593
-3.884 0.114 0.152
-4.269 -0.706 3.451
-6.449 -3.193 2.579
-6.065 -2.373 -0.720
```

Properties
space-group type = P4/mbm
raw total energy = -0.88508 Ha/atom
N(E_F) = 2.38 states/eV/cell
energy relative to the elements = -13 meV per atom

First-principles (SCAN) data for a crystal of CsBeAsSe2 relaxed with PBEsol, as listed in Alexandria via LeMat-Bulk.

Cell and atoms, written as POSCAR:
```
CsBeAsSe2
1.0
-0.240 1.330 -4.381
-4.865 0.906 0.541
1.023 4.677 1.364
As Se Be Cs
1 2 1 1
Cartesian
-0.120 0.665 -2.190
0.511 2.339 0.682
-2.433 0.453 0.271
0.000 0.000 0.000
-2.041 3.457 -1.238
```

Properties
space-group type = P4/mmm
raw total energy = -0.75468 Ha/atom
formation energy from raw total energies = -0.03 eV/atom
N(E_F) = 2.93 states/eV/cell

First-principles (SCAN) data for a crystal of BeCuAs4 relaxed with PBEsol, as listed in Alexandria via LeMat-Bulk.

Cell and atoms, written as POSCAR:
```
BeCuAs4
1.0
5.378 0.000 0.000
2.689 4.658 0.000
2.689 1.553 4.392
Cu As Be
1 4 1
Cartesian
0.000 0.000 0.000
5.378 1.552 2.745
5.378 3.105 0.549
4.034 3.882 2.745
6.723 3.882 2.745
2.689 1.553 1.098
```

Properties
space-group type = F-43m
raw total energy = -0.58317 Ha/atom
N(E_F) = 2.58 states/eV/cell
energy relative to the elements = 850 meV per atom

First-principles (SCAN) data for a crystal of BeAsF2 relaxed with PBEsol, as listed in Alexandria via LeMat-Bulk.

Cell and atoms, written as POSCAR:
```
BeAsF2
1.0
-3.176 -2.411 -0.906
-0.773 -3.306 2.280
-3.274 -0.075 2.449
Be As F
1 1 2
Cartesian
0.000 0.000 0.000
-3.611 -2.896 1.912
-1.806 -1.448 0.956
-5.417 -4.344 2.868
```

Properties
space-group type = Fm-3m
raw total energy = -0.29726 Ha/atom
formation energy from raw total energies = -0.18 eV/atom
N(E_F) = 2.52 states/eV/cell

First-principles (SCAN) data for a crystal of BeAsF2 relaxed with PBEsol, as listed in Alexandria via LeMat-Bulk.

Cell and atoms, written as POSCAR:
```
BeAsF2
1.0
-0.299 4.969 1.271
-4.432 1.950 1.719
-0.464 1.367 4.931
F As Be
4 2 2
Cartesian
-0.799 3.521 1.626
-0.649 1.036 0.990
-2.865 2.011 1.850
-0.881 1.719 3.456
-3.896 6.215 5.941
-2.597 4.143 3.961
-1.299 2.072 1.980
0.000 0.000 0.000
```

Properties
space-group type = Fd-3m
raw total energy = -0.36327 Ha/atom
formation energy from raw total energies = -1.98 eV/atom
N(E_F) = 1.27 states/eV/cell

First-principles (SCAN) data for a crystal of BeFe2AsPt relaxed with PBEsol, as listed in Alexandria via LeMat-Bulk.

Cell and atoms, written as POSCAR:
```
BeFe2AsPt
1.0
4.271 0.000 0.000
0.000 4.271 0.000
0.000 0.000 4.579
Fe Be Pt As
2 1 1 1
Cartesian
2.136 0.000 0.000
0.000 2.136 0.000
2.136 2.136 2.289
0.000 0.000 2.289
0.000 0.000 0.000
```

Properties
space-group type = P4/mmm
raw total energy = -0.93344 Ha/atom
N(E_F) = 2.71 states/eV/cell
energy relative to the elements = 799 meV per atom